# K2VMo3O12

A relaxed structure of K2VMo3O12 (PBE+U, Alexandria).

Cell: 7.3530 7.3530 17.5074 Å, 90.00 90.00 120.00°
Last column: nearest neighbours and their distance in Å.
Space group R-3m (No. 166, hexagonal axes)
Unique sites:
K1 0.0000 0.0000 0.1249 (multiplicity 6)  6 O 3.18-3.27
V1 0.0000 0.0000 0.5000 (multiplicity 3)  6 O 1.88
Mo1 0.0000 0.5000 0.0000 (multiplicity 9)  6 O 1.92-1.96
O1 0.0819 0.5409 0.3569 (multiplicity 18)  2 Mo 1.96
O2 0.0929 0.5464 0.1042 (multiplicity 18)  1 V 1.88, 1 Mo 1.92

Computed properties:
As for the density of states at the Fermi level: 0.22 states/eV per atom. The value obtained for the total energy is -6.733 eV per atom.